(1)
A plane-wave DFT calculation with GGA-PBE was carried out for a relaxed structure of LaNbAl2Pt.

The density is 6826 kg/m³. The energy relative to the elements comes out at -0.408 eV/f.u.

Lattice parameters (Å, degrees): 4.726 4.726 5.238 90.00 90.00 90.00
Space group P4/mmm (No. 123)
Inequivalent atoms, fractional coordinates:
1 La 0.000 0.000 0.000
2 Nb 0.500 0.500 0.000
3 Al 0.000 0.500 0.500
4 Pt 0.500 0.500 0.500

***

(2)
A plane-wave DFT calculation with GGA-PBE was carried out for a relaxed structure of LaTaNb2Al.

The density is 6987 kg/m³. The energy relative to the elements comes out at 3.668 eV/f.u.

Lattice parameters (Å, degrees): 4.943 4.943 5.181 90.00 90.00 90.00
Space group P4/mmm (No. 123)
Inequivalent atoms, fractional coordinates:
1 La 0.000 0.000 0.000
2 Ta 0.500 0.500 0.500
3 Nb 0.000 0.500 0.500
4 Al 0.500 0.500 0.000

***

(3)
A plane-wave DFT calculation with GGA-PBE was carried out for a relaxed structure of LaNbAl2Tl.

The density is 5365 kg/m³. The energy relative to the elements comes out at 5.949 eV/f.u.

Lattice parameters (Å, degrees): 5.066 5.066 5.910 90.00 90.00 90.00
Space group P4/mmm (No. 123)
Inequivalent atoms, fractional coordinates:
1 La 0.000 0.000 0.000
2 Nb 0.500 0.500 0.000
3 Al 0.000 0.500 0.500
4 Tl 0.000 0.000 0.500

***

(4)
A plane-wave DFT calculation with GGA-PBE was carried out for a relaxed structure of LaNd3Al8.

The density is 4962 kg/m³. The value obtained for the relative energy among the computed polymorphs is 14 meV/atom. The energy relative to the elements comes out at -5.811 eV/f.u.

Lattice parameters (Å, degrees): 5.6945 5.6945 9.3836 90.00 90.00 120.00
Space group P3m1 (No. 156)
Inequivalent atoms, fractional coordinates:
1 La 0.0000 0.0000 0.0000
2 Nd 0.0000 0.0000 0.3621
3 Nd 0.6667 0.3333 0.4992
4 Nd 0.6667 0.3333 0.8643
5 Al 0.1622 0.3244 0.6798
6 Al 0.3333 0.6667 0.4335
7 Al 0.3333 0.6667 0.9314
8 Al 0.5045 0.0091 0.1841

***

(5)
A plane-wave DFT calculation with GGA-PBE was carried out for a relaxed structure of LaNd12Al3.

The density is 6539 kg/m³. The energy relative to the elements comes out at -1.704 eV/f.u.

Lattice parameters (Å, degrees): 4.941 4.941 20.293 90.00 90.00 90.00
Space group P4/mmm (No. 123)
Inequivalent atoms, fractional coordinates:
1 La 0.000 0.000 0.000
2 Nd 0.000 0.500 0.138
3 Nd 0.000 0.500 0.380
4 Nd 0.500 0.500 0.000
5 Nd 0.500 0.500 0.260
6 Nd 0.500 0.500 0.500
7 Al 0.000 0.000 0.259
8 Al 0.000 0.000 0.500

***

(6)
A plane-wave DFT calculation with GGA-PBE was carried out for a relaxed structure of LaNd2Al.

The density is 5680 kg/m³. The value obtained for the relative energy among the computed polymorphs is 211 meV/atom. The energy relative to the elements comes out at 0.159 eV/f.u.

Lattice parameters (Å, degrees): 5.2364 5.2364 16.7830 90.00 90.00 120.00
Space group R3m (No. 160, hexagonal axes)
Inequivalent atoms, fractional coordinates:
1 La 0.0000 0.0000 0.0000
2 Nd 0.0000 0.0000 0.5538
3 Nd 0.0000 0.0000 0.7844
4 Al 0.0000 0.0000 0.2019

***

(7)
A plane-wave DFT calculation with GGA-PBE was carried out for a relaxed structure of LaNd2Al.

The density is 6331 kg/m³. The value obtained for the relative energy among the computed polymorphs is 0 meV/atom. The energy relative to the elements comes out at -0.686 eV/f.u.

Lattice parameters (Å, degrees): 4.939 4.939 4.886 90.00 90.00 90.00
Space group P4/mmm (No. 123)
Inequivalent atoms, fractional coordinates:
1 La 0.000 0.000 0.000
2 Nd 0.000 0.500 0.500
3 Al 0.500 0.500 0.000

***

(8)
A plane-wave DFT calculation with GGA-PBE was carried out for a relaxed structure of La7NdAl4.

The density is 5438 kg/m³. The value obtained for the relative energy among the computed polymorphs is 94 meV/atom. The energy relative to the elements comes out at -1.203 eV/f.u.

Lattice parameters (Å, degrees): 14.155 5.807 11.042 90.00 124.51 90.00
Space group C2/m (No. 12)
Inequivalent atoms, fractional coordinates:
1 La 0.000 0.000 0.000
2 La 0.067 0.500 0.381
3 La 0.200 0.000 0.638
4 La 0.204 0.500 0.881
5 Nd 0.000 0.500 0.000
6 Al 0.051 0.000 0.761
7 Al 0.176 0.000 0.330